BaY2MoOs at its PBEsol-relaxed geometry. Source: Alexandria, functional meta-GGA SCAN.

POSCAR file:
```
BaY2MoOs
1.0
4.825 0.000 0.000
0.000 5.456 0.000
0.000 0.000 5.456
Y Mo Os Ba
2 1 1 1
direct
0.000 0.000 0.500
0.000 0.500 0.000
0.500 0.000 0.000
0.000 0.000 0.000
0.500 0.500 0.500
```

Summary:
- energy of formation (kcal/mol of atoms) = 6.59
- magnetic moment (μB per formula unit) = 2.0
- symmetry = P4/mmm